The following is a DFT calculation (SCAN) of a PBEsol-optimized structure of Sc5Pb.

Properties
The formation energy comes out at -273 meV/atom. The total energy comes out at -24.7670 eV/atom. The total magnetization comes out at 0.2 μB/f.u.

Lattice parameters (Å, degrees): 4.473 13.778 4.457 90.00 90.00 90.00
Space group Cmmm (No. 65)
Symmetry-distinct sites (fractional):
1 Sc 0.000 0.000 0.000 x2
2 Sc 0.000 0.164 0.500 x4
3 Sc 0.000 0.328 0.000 x4
4 Pb 0.000 0.500 0.500 x2

=====

The following is a DFT calculation (SCAN) of a PBEsol-optimized structure of Cr4SbCl.

Properties
The total energy comes out at -18.8975 eV/atom. The total magnetization comes out at 0.0 μB/f.u.

Lattice parameters (Å, degrees): 6.937 6.937 6.937 90.00 90.00 90.00
Space group F-43m (No. 216)
Symmetry-distinct sites (fractional):
1 Cr 0.121 0.121 0.379 x16
2 Sb 0.000 0.000 0.000 x4
3 Cl 0.250 0.250 0.750 x4

=====

The following is a DFT calculation (SCAN) of a PBEsol-optimized structure of BeZnPt2.

Properties
The formation energy comes out at -568 meV/atom. For the energy above the most stable polymorph in this dataset, the calculation gives 0.2221 eV per atom. The total energy comes out at -40.1320 eV/atom. The total magnetization comes out at 0.0 μB/f.u.

Lattice parameters (Å, degrees): 3.911 2.756 9.584 90.00 90.00 90.00
Space group Amm2 (No. 38)
Symmetry-distinct sites (fractional):
1 Be 0.000 0.000 0.000 x2
2 Zn 0.500 0.000 0.157 x2
3 Pt 0.000 0.000 0.753 x2
4 Pt 0.500 0.000 0.430 x2

=====

Which value of total energy does entry 3 give?
-40.1320 eV/atom